Entry 1:
Here is an optimized crystal structure of La2GeAu2 from the Alexandria database. Energies are from PBE-GGA.

```
data_La2GeAu2
_chemical_formula_sum 'La4 Ge2 Au4'
_space_group_name_H-M_alt 'P 4/m b m'
_space_group_IT_number 127
_space_group_name_Hall '-P 4 2ab'
_cell_length_a 8.0082
_cell_length_b 8.0082
_cell_length_c 4.0553
_cell_angle_alpha 90.00
_cell_angle_beta 90.00
_cell_angle_gamma 90.00
loop_
_atom_site_label
_atom_site_type_symbol
_atom_site_fract_x
_atom_site_fract_y
_atom_site_fract_z
_atom_site_occupancy
La1 La 0.1779 0.3221 0.0000 1
Ge1 Ge 0.0000 0.0000 0.5000 1
Au1 Au 0.1257 0.6257 0.5000 1
```

* total magnetization: 0.00 Bohr magnetons per cell
* N(E_F): 0.58 states/eV/atom
* formation enthalpy at 0 K: -0.734 eV per atom
* E above lowest polymorph: 0.0 meV/atom

Entry 2:
Here is an optimized crystal structure of La2Ge2Au from the Alexandria database. Energies are from PBE-GGA.

```
data_La2Ge2Au
_chemical_formula_sum 'La4 Ge4 Au2'
_space_group_name_H-M_alt 'P 4/m b m'
_space_group_IT_number 127
_space_group_name_Hall '-P 4 2ab'
_cell_length_a 7.4040
_cell_length_b 7.4040
_cell_length_c 4.5416
_cell_angle_alpha 90.00
_cell_angle_beta 90.00
_cell_angle_gamma 90.00
loop_
_atom_site_label
_atom_site_type_symbol
_atom_site_fract_x
_atom_site_fract_y
_atom_site_fract_z
_atom_site_occupancy
La1 La 0.1765 0.3235 0.0000 1
Ge1 Ge 0.1250 0.6250 0.5000 1
Au1 Au 0.0000 0.0000 0.5000 1
```

* total magnetization: 0.00 Bohr magnetons per cell
* N(E_F): 0.77 states/eV/atom
* formation enthalpy at 0 K: -0.789 eV per atom

Entry 3:
Here is an optimized crystal structure of La2Ge3Au from the Alexandria database. Energies are from PBE-GGA.

```
data_La2Ge3Au
_chemical_formula_sum 'La8 Ge12 Au4'
_space_group_name_H-M_alt 'C 1 2/m 1'
_space_group_IT_number 12
_space_group_name_Hall '-C 2y'
_cell_length_a 8.9166
_cell_length_b 8.6646
_cell_length_c 8.7116
_cell_angle_alpha 90.00
_cell_angle_beta 120.70
_cell_angle_gamma 90.00
loop_
_atom_site_label
_atom_site_type_symbol
_atom_site_fract_x
_atom_site_fract_y
_atom_site_fract_z
_atom_site_occupancy
La1 La 0.0000 0.2481 0.0000 1
La2 La 0.2459 0.0000 0.4976 1
Ge1 Ge 0.0512 0.2493 0.6650 1
Ge2 Ge 0.1963 0.0000 0.8291 1
Au1 Au 0.1894 0.5000 0.8346 1
```

* total magnetization: 0.00 Bohr magnetons per cell
* N(E_F): 0.57 states/eV/atom
* formation enthalpy at 0 K: -0.804 eV per atom

Entry 4:
Here is an optimized crystal structure of LaGe2Au from the Alexandria database. Energies are from PBE-GGA.

```
data_LaGe2Au
_chemical_formula_sum 'La1 Ge2 Au1'
_space_group_name_H-M_alt 'P 4/m m m'
_space_group_IT_number 123
_space_group_name_Hall '-P 4 2'
_cell_length_a 4.5212
_cell_length_b 4.5212
_cell_length_c 4.3606
_cell_angle_alpha 90.00
_cell_angle_beta 90.00
_cell_angle_gamma 90.00
loop_
_atom_site_label
_atom_site_type_symbol
_atom_site_fract_x
_atom_site_fract_y
_atom_site_fract_z
_atom_site_occupancy
La1 La 0.0000 0.0000 0.0000 1
Ge1 Ge 0.0000 0.5000 0.5000 1
Au1 Au 0.5000 0.5000 0.0000 1
```

* total magnetization: 0.00 Bohr magnetons per cell
* N(E_F): 0.47 states/eV/atom
* formation enthalpy at 0 K: -0.477 eV per atom

Question: Which formula does entry 3 have?
Answer: La2Ge3Au